# 1
CeSmTc | Alexandria via LeMat-Bulk | PBE-GGA | optimized geometry; total DFT energy (no corrections) = -42.34 eV per cell; space-group type = C2/m (12); energy relative to the lowest polymorph listed for this composition = 0.0 meV/atom
1.0
5.7225 -2.1791 0.0000
5.7225 2.1791 0.0000
-4.1742 0.0000 6.2701
Ce Sm Tc
2 2 2
Direct
0.1690 0.1690 0.0562 Ce
0.8310 0.8310 0.9438 Ce
0.4090 0.4090 0.6322 Sm
0.5910 0.5910 0.3678 Sm
0.1212 0.1212 0.7157 Tc
0.8788 0.8788 0.2843 Tc

=====

# 2
LiYGa3 | Alexandria via LeMat-Bulk | PBE-GGA | optimized geometry; total DFT energy (no corrections) = -18.33 eV per cell; space-group type = Pm-3m (221); energy relative to the lowest polymorph listed for this composition = 279.7 meV/atom
1.0
4.5865 0.0000 0.0000
0.0000 4.5865 0.0000
0.0000 0.0000 4.5865
Li Y Ga
1 1 3
Direct
0.0000 0.0000 0.0000 Li
0.5000 0.5000 0.5000 Y
0.0000 0.0000 0.5000 Ga
0.0000 0.5000 0.0000 Ga
0.5000 0.0000 0.0000 Ga

=====

# 3
AcY6Ho5 | Alexandria via LeMat-Bulk | PBE-GGA | optimized geometry; total DFT energy (no corrections) = -65.36 eV per cell; space-group type = C2/m (12)
1.0
5.9528 -5.3846 0.0000
5.9528 5.3846 0.0000
-1.0907 0.0000 6.1078
Ac Y Ho
1 6 5
Direct
0.0000 0.0000 0.0000 Ac
0.0843 0.4204 0.2505 Y
0.2525 0.2525 0.7466 Y
0.4204 0.0843 0.2505 Y
0.5796 0.9157 0.7495 Y
0.7475 0.7475 0.2534 Y
0.9157 0.5796 0.7495 Y
0.1719 0.8281 0.5000 Ho
0.3367 0.6633 0.0000 Ho
0.5000 0.5000 0.5000 Ho
0.6633 0.3367 0.0000 Ho
0.8281 0.1719 0.5000 Ho

=====

# 4
Y2V2Ge | Alexandria via LeMat-Bulk | PBE-GGA | optimized geometry; total DFT energy (no corrections) = -71.51 eV per cell; space-group type = P4/mbm (127)
1.0
6.7819 0.0000 0.0000
0.0000 6.7819 0.0000
0.0000 0.0000 4.5359
Y V Ge
4 4 2
Direct
0.1723 0.3277 0.0000 Y
0.3277 0.8277 0.0000 Y
0.6723 0.1723 0.0000 Y
0.8277 0.6723 0.0000 Y
0.1244 0.6244 0.5000 V
0.3756 0.1244 0.5000 V
0.6244 0.8756 0.5000 V
0.8756 0.3756 0.5000 V
0.0000 0.0000 0.5000 Ge
0.5000 0.5000 0.5000 Ge

=====

# 5
Mn2CrWBr | Alexandria via LeMat-Bulk | PBE-GGA | optimized geometry; total DFT energy (no corrections) = -32.76 eV per cell; space-group type = P4/mmm (123)
1.0
4.1886 0.0000 0.0000
0.0000 4.1886 0.0000
0.0000 0.0000 4.6278
Mn Cr W Br
2 1 1 1
Direct
0.0000 0.5000 0.0000 Mn
0.5000 0.0000 0.0000 Mn
0.0000 0.0000 0.5000 Cr
0.5000 0.5000 0.5000 W
0.5000 0.5000 0.0000 Br

=====

# 6
CrFePd14 | Alexandria via LeMat-Bulk | PBE-GGA | optimized geometry; total DFT energy (no corrections) = -91.46 eV per cell; space-group type = P4/mmm (123)
1.0
5.5578 0.0000 0.0000
0.0000 5.5578 0.0000
0.0000 0.0000 7.8165
Cr Fe Pd
1 1 14
Direct
0.0000 0.0000 0.0000 Cr
0.5000 0.5000 0.0000 Fe
0.0000 0.0000 0.5000 Pd
0.0000 0.5000 0.0000 Pd
0.0000 0.5000 0.5000 Pd
0.2501 0.2501 0.2425 Pd
0.2501 0.2501 0.7575 Pd
0.2501 0.7499 0.2425 Pd
0.2501 0.7499 0.7575 Pd
0.5000 0.0000 0.0000 Pd
0.5000 0.0000 0.5000 Pd
0.5000 0.5000 0.5000 Pd
0.7499 0.2501 0.2425 Pd
0.7499 0.2501 0.7575 Pd
0.7499 0.7499 0.2425 Pd
0.7499 0.7499 0.7575 Pd

=====

# 7
MnBeInCu2 | Alexandria via LeMat-Bulk | PBE-GGA | optimized geometry; total DFT energy (no corrections) = -21.20 eV per cell; space-group type = P4/mmm (123)
1.0
4.1851 0.0000 0.0000
0.0000 4.1851 0.0000
0.0000 0.0000 4.5232
Mn Be In Cu
1 1 1 2
Direct
0.0000 0.0000 0.0000 Mn
0.5000 0.5000 0.5000 Be
0.5000 0.5000 0.0000 In
0.0000 0.5000 0.5000 Cu
0.5000 0.0000 0.5000 Cu

=====

# 8
Mg6AlPd12 | Alexandria via LeMat-Bulk | PBE-GGA | optimized geometry; total DFT energy (no corrections) = -85.33 eV per cell; space-group type = R-3 (148)
1.0
4.9102 2.8349 3.7276
-4.9102 2.8349 3.7276
0.0000 -5.6698 3.7276
Mg Al Pd
6 1 12
Direct
0.1960 0.7717 0.3741 Mg
0.2283 0.6259 0.8040 Mg
0.3741 0.1960 0.7717 Mg
0.6259 0.8040 0.2283 Mg
0.7717 0.3741 0.1960 Mg
0.8040 0.2283 0.6259 Mg
0.5000 0.5000 0.5000 Al
0.0461 0.9504 0.7065 Pd
0.0496 0.2936 0.9539 Pd
0.1504 0.3723 0.4795 Pd
0.2935 0.9539 0.0496 Pd
0.3723 0.4795 0.1504 Pd
0.4795 0.1504 0.3723 Pd
0.5205 0.8496 0.6277 Pd
0.6277 0.5205 0.8496 Pd
0.7065 0.0461 0.9504 Pd
0.8496 0.6277 0.5205 Pd
0.9504 0.7065 0.0461 Pd
0.9539 0.0496 0.2935 Pd

=====

Repeat the fourth record exactly.
Y2V2Ge | Alexandria via LeMat-Bulk | PBE-GGA | optimized geometry; total DFT energy (no corrections) = -71.51 eV per cell; space-group type = P4/mbm (127)
1.0
6.7819 0.0000 0.0000
0.0000 6.7819 0.0000
0.0000 0.0000 4.5359
Y V Ge
4 4 2
Direct
0.1723 0.3277 0.0000 Y
0.3277 0.8277 0.0000 Y
0.6723 0.1723 0.0000 Y
0.8277 0.6723 0.0000 Y
0.1244 0.6244 0.5000 V
0.3756 0.1244 0.5000 V
0.6244 0.8756 0.5000 V
0.8756 0.3756 0.5000 V
0.0000 0.0000 0.5000 Ge
0.5000 0.5000 0.5000 Ge

=====

- Which value of total DFT energy (no corrections) does entry 1 give?
  -42.34 eV per cell

=====

- total DFT energy (no corrections) of number 2 (LiYGa3)?
  -18.33 eV per cell

=====

- Number 1 is which compound?
  CeSmTc